No. 1
A geometry-optimized BeNi2W structure, computed with PBEsol.

DFT formation energy = -0.079 eV/atom

```
data_BeNi2W
_chemical_formula_sum 'Be1 Ni2 W1'
_cell_length_a 2.6770
_cell_length_b 2.6770
_cell_length_c 6.1001
_cell_angle_alpha 90.00
_cell_angle_beta 90.00
_cell_angle_gamma 90.00
_space_group_name_H-M_alt 'P 1'
_space_group_IT_number 1
_space_group_name_Hall 'P 1'
loop_
_atom_site_label
_atom_site_type_symbol
_atom_site_fract_x
_atom_site_fract_y
_atom_site_fract_z
Ni1 Ni 0.5000 0.5000 0.2250
Ni2 Ni 0.0000 0.0000 0.9709
Be1 Be 0.5000 0.5000 0.7905
W1 W 0.0000 0.0000 0.5136
```

=====

No. 2
A geometry-optimized HgI2N structure, computed with PBEsol.

energy above the most stable polymorph in this dataset = 589.4 meV per atom

```
data_HgI2N
_chemical_formula_sum 'Hg1 I2 N1'
_cell_length_a 5.2552
_cell_length_b 5.2552
_cell_length_c 5.2552
_cell_angle_alpha 60.00
_cell_angle_beta 60.00
_cell_angle_gamma 60.00
_space_group_name_H-M_alt 'P 1'
_space_group_IT_number 1
_space_group_name_Hall 'P 1'
loop_
_atom_site_label
_atom_site_type_symbol
_atom_site_fract_x
_atom_site_fract_y
_atom_site_fract_z
I1 I 0.7500 0.7500 0.7500
I2 I 0.2500 0.2500 0.2500
N1 N 0.0000 0.0000 0.0000
Hg1 Hg 0.5000 0.5000 0.5000
```

=====

No. 3
A geometry-optimized CaLa3 structure, computed with PBEsol.

DFT formation energy = 0.045 eV/atom

```
data_CaLa3
_chemical_formula_sum 'Ca1 La3'
_cell_length_a 3.6447
_cell_length_b 6.3723
_cell_length_c 6.4380
_cell_angle_alpha 99.19
_cell_angle_beta 90.00
_cell_angle_gamma 106.62
_space_group_name_H-M_alt 'P 1'
_space_group_IT_number 1
_space_group_name_Hall 'P 1'
loop_
_atom_site_label
_atom_site_type_symbol
_atom_site_fract_x
_atom_site_fract_y
_atom_site_fract_z
La1 La 0.7542 0.5085 0.2644
La2 La 0.2458 0.4915 0.7356
La3 La 0.5000 0.0000 0.5000
Ca1 Ca 0.0000 0.0000 0.0000
```

=====

No. 4
A geometry-optimized K2CuP4O12 structure, computed with PBEsol.

energy = -6.9328 eV/atom

```
data_K2CuP4O12
_chemical_formula_sum 'K4 Cu2 P8 O24'
_cell_length_a 8.1733
_cell_length_b 8.1733
_cell_length_c 7.9653
_cell_angle_alpha 96.72
_cell_angle_beta 96.72
_cell_angle_gamma 96.40
_space_group_name_H-M_alt 'P 1'
_space_group_IT_number 1
_space_group_name_Hall 'P 1'
loop_
_atom_site_label
_atom_site_type_symbol
_atom_site_fract_x
_atom_site_fract_y
_atom_site_fract_z
P1 P 0.0733 0.2220 0.6889
P2 P 0.8457 0.9849 0.8280
P3 P 0.8502 0.5354 0.0768
P4 P 0.1640 0.5378 0.9174
P5 P 0.5354 0.8502 0.5768
P6 P 0.2220 0.0733 0.1889
P7 P 0.9849 0.8457 0.3280
P8 P 0.5378 0.1640 0.4174
O1 O 0.9844 0.8784 0.8472
O2 O 0.1988 0.6415 0.7772
O3 O 0.7262 0.8967 0.6591
O4 O 0.5172 0.6772 0.4889
O5 O 0.6415 0.1988 0.2772
O6 O 0.8784 0.9844 0.3472
O7 O 0.1774 0.0831 0.6589
O8 O 0.0189 0.7471 0.4710
O9 O 0.0831 0.1774 0.1589
O10 O 0.3146 0.0194 0.0464
O11 O 0.5784 0.2633 0.5883
O12 O 0.4274 0.8996 0.7107
O13 O 0.9121 0.1608 0.7733
O14 O 0.8967 0.7262 0.1591
O15 O 0.8996 0.4274 0.2107
O16 O 0.9664 0.5227 0.9258
O17 O 0.5227 0.9664 0.4258
O18 O 0.3488 0.1832 0.3436
O19 O 0.6772 0.5172 0.9889
O20 O 0.0194 0.3146 0.5464
O21 O 0.7471 0.0189 0.9710
O22 O 0.1832 0.3488 0.8436
O23 O 0.2633 0.5784 0.0883
O24 O 0.1608 0.9121 0.2733
Cu1 Cu 0.8724 0.1897 0.2451
Cu2 Cu 0.1897 0.8724 0.7451
K1 K 0.7961 0.5373 0.5926
K2 K 0.5027 0.2240 0.8980
K3 K 0.2240 0.5027 0.3980
K4 K 0.5373 0.7961 0.0926
```

=====

No. 5
A geometry-optimized HfAs3Pd structure, computed with PBEsol.

DFT formation energy = 0.560 eV/atom

```
data_HfAs3Pd
_chemical_formula_sum 'Hf1 As3 Pd1'
_cell_length_a 5.0035
_cell_length_b 5.0035
_cell_length_c 5.0035
_cell_angle_alpha 90.00
_cell_angle_beta 90.00
_cell_angle_gamma 90.00
_space_group_name_H-M_alt 'P 1'
_space_group_IT_number 1
_space_group_name_Hall 'P 1'
loop_
_atom_site_label
_atom_site_type_symbol
_atom_site_fract_x
_atom_site_fract_y
_atom_site_fract_z
As1 As 0.0000 0.0000 0.5000
As2 As 0.5000 0.0000 0.0000
As3 As 0.0000 0.5000 0.0000
Pd1 Pd 0.5000 0.5000 0.5000
Hf1 Hf 0.0000 0.0000 0.0000
```

=====

No. 6
A geometry-optimized CsCaTa6Cl18 structure, computed with PBEsol.

energy = -5.9080 eV/atom

```
data_CsCaTa6Cl18
_chemical_formula_sum 'Cs2 Ca2 Ta12 Cl36'
_cell_length_a 9.1990
_cell_length_b 9.1990
_cell_length_c 17.0882
_cell_angle_alpha 90.00
_cell_angle_beta 90.00
_cell_angle_gamma 120.00
_space_group_name_H-M_alt 'P 1'
_space_group_IT_number 1
_space_group_name_Hall 'P 1'
loop_
_atom_site_label
_atom_site_type_symbol
_atom_site_fract_x
_atom_site_fract_y
_atom_site_fract_z
Cl1 Cl 0.9609 0.7692 0.1621
Cl2 Cl 0.8496 0.5790 0.4999
Cl3 Cl 0.1917 0.2308 0.6620
Cl4 Cl 0.4210 0.2705 0.4999
Cl5 Cl 0.1504 0.4210 0.5001
Cl6 Cl 0.3683 0.4392 0.3417
Cl7 Cl 0.6316 0.0709 0.8417
Cl8 Cl 0.0709 0.4392 0.1583
Cl9 Cl 0.5608 0.6316 0.1583
Cl10 Cl 0.3684 0.9291 0.1583
Cl11 Cl 0.0709 0.6317 0.3417
Cl12 Cl 0.4392 0.0709 0.6583
Cl13 Cl 0.2706 0.4210 0.9999
Cl14 Cl 0.5790 0.8496 0.9999
Cl15 Cl 0.9291 0.3683 0.6583
Cl16 Cl 0.6317 0.5608 0.6583
Cl17 Cl 0.7295 0.1504 0.4999
Cl18 Cl 0.5790 0.7295 0.5001
Cl19 Cl 0.7692 0.9609 0.6620
Cl20 Cl 0.2705 0.8496 0.5001
Cl21 Cl 0.8083 0.0391 0.1621
Cl22 Cl 0.7692 0.8083 0.8379
Cl23 Cl 0.9609 0.1917 0.3380
Cl24 Cl 0.0391 0.2308 0.8379
Cl25 Cl 0.0391 0.8083 0.6620
Cl26 Cl 0.4210 0.1504 0.0001
Cl27 Cl 0.2308 0.0391 0.3380
Cl28 Cl 0.8083 0.7692 0.3380
Cl29 Cl 0.1917 0.9609 0.8379
Cl30 Cl 0.9291 0.5608 0.8417
Cl31 Cl 0.2308 0.1917 0.1621
Cl32 Cl 0.4392 0.3684 0.8417
Cl33 Cl 0.7294 0.5790 0.0001
Cl34 Cl 0.1504 0.7294 0.9999
Cl35 Cl 0.8496 0.2706 0.0001
Cl36 Cl 0.5608 0.9291 0.3417
Cs1 Cs 0.6667 0.3333 0.2500
Cs2 Cs 0.3333 0.6667 0.7500
Ta1 Ta 0.8370 0.8029 0.5694
Ta2 Ta 0.8028 0.8370 0.0695
Ta3 Ta 0.1971 0.0341 0.5694
Ta4 Ta 0.1972 0.1630 0.9305
Ta5 Ta 0.9659 0.1630 0.5694
Ta6 Ta 0.8370 0.0341 0.9305
Ta7 Ta 0.0341 0.1972 0.0695
Ta8 Ta 0.1630 0.9659 0.0695
Ta9 Ta 0.8029 0.9659 0.4306
Ta10 Ta 0.1630 0.1971 0.4306
Ta11 Ta 0.9659 0.8028 0.9305
Ta12 Ta 0.0341 0.8370 0.4306
Ca1 Ca 0.3333 0.6667 0.2500
Ca2 Ca 0.6667 0.3333 0.7500
```

=====

No. 7
A geometry-optimized LiFeCu2 structure, computed with PBEsol.

DFT formation energy = 0.148 eV/atom

```
data_LiFeCu2
_chemical_formula_sum 'Li1 Fe1 Cu2'
_cell_length_a 2.4303
_cell_length_b 3.6866
_cell_length_c 5.1550
_cell_angle_alpha 90.00
_cell_angle_beta 90.12
_cell_angle_gamma 90.00
_space_group_name_H-M_alt 'P 1'
_space_group_IT_number 1
_space_group_name_Hall 'P 1'
loop_
_atom_site_label
_atom_site_type_symbol
_atom_site_fract_x
_atom_site_fract_y
_atom_site_fract_z
Li1 Li 0.5000 0.5000 0.5000
Cu1 Cu 0.0009 0.0000 0.2423
Cu2 Cu 0.9991 0.0000 0.7577
Fe1 Fe 0.5000 0.5000 0.0000
```

=====

No. 8
A geometry-optimized LiPbCl structure, computed with PBEsol.

energy = -2.7196 eV/atom

```
data_LiPbCl
_chemical_formula_sum 'Li1 Pb1 Cl1'
_cell_length_a 5.0330
_cell_length_b 5.0330
_cell_length_c 5.0330
_cell_angle_alpha 60.00
_cell_angle_beta 60.00
_cell_angle_gamma 60.00
_space_group_name_H-M_alt 'P 1'
_space_group_IT_number 1
_space_group_name_Hall 'P 1'
loop_
_atom_site_label
_atom_site_type_symbol
_atom_site_fract_x
_atom_site_fract_y
_atom_site_fract_z
Pb1 Pb 0.2500 0.2500 0.2500
Cl1 Cl 0.0000 0.0000 0.0000
Li1 Li 0.5000 0.5000 0.5000
```

=====

No. 9
A geometry-optimized Ni7Ir structure, computed with PBEsol.

DFT formation energy = 0.022 eV/atom

```
data_Ni7Ir
_chemical_formula_sum 'Ni7 Ir1'
_cell_length_a 4.9778
_cell_length_b 4.9778
_cell_length_c 4.9778
_cell_angle_alpha 60.00
_cell_angle_beta 60.00
_cell_angle_gamma 60.00
_space_group_name_H-M_alt 'P 1'
_space_group_IT_number 1
_space_group_name_Hall 'P 1'
loop_
_atom_site_label
_atom_site_type_symbol
_atom_site_fract_x
_atom_site_fract_y
_atom_site_fract_z
Ni1 Ni 0.5000 0.5000 0.0000
Ni2 Ni 0.0000 0.5000 0.0000
Ni3 Ni 0.5000 0.0000 0.5000
Ni4 Ni 0.0000 0.0000 0.5000
Ni5 Ni 0.0000 0.5000 0.5000
Ni6 Ni 0.5000 0.5000 0.5000
Ni7 Ni 0.5000 0.0000 0.0000
Ir1 Ir 0.0000 0.0000 0.0000
```

=====

Repeat the ninth record exactly.
A geometry-optimized Ni7Ir structure, computed with PBEsol.

DFT formation energy = 0.022 eV/atom

```
data_Ni7Ir
_chemical_formula_sum 'Ni7 Ir1'
_cell_length_a 4.9778
_cell_length_b 4.9778
_cell_length_c 4.9778
_cell_angle_alpha 60.00
_cell_angle_beta 60.00
_cell_angle_gamma 60.00
_space_group_name_H-M_alt 'P 1'
_space_group_IT_number 1
_space_group_name_Hall 'P 1'
loop_
_atom_site_label
_atom_site_type_symbol
_atom_site_fract_x
_atom_site_fract_y
_atom_site_fract_z
Ni1 Ni 0.5000 0.5000 0.0000
Ni2 Ni 0.0000 0.5000 0.0000
Ni3 Ni 0.5000 0.0000 0.5000
Ni4 Ni 0.0000 0.0000 0.5000
Ni5 Ni 0.0000 0.5000 0.5000
Ni6 Ni 0.5000 0.5000 0.5000
Ni7 Ni 0.5000 0.0000 0.0000
Ir1 Ir 0.0000 0.0000 0.0000
```